[1]
{
  "formula": "Ca2PbWC",
  "functional": "PBE",
  "state": "optimized geometry",
  "spacegroup": "P4/mmm (123)",
  "magmom_total_mub_per_cell": 4.5,
  "delta_e_f_ev_per_atom": 2.05,
  "total_energy_ev_per_atom": -3.926,
  "lattice": [[6.059, 0.000, 0.000], [0.000, 4.318, 0.000], [0.000, 0.000, 6.059]],
  "species": ["Pb", "C", "Ca", "Ca", "W"],
  "frac_coords": [[0.000, 0.000, 0.000], [0.000, 0.500, 0.000], [0.000, 0.000, 0.500], [0.500, 0.000, 0.000], [0.500, 0.500, 0.500]]
}

***

[2]
{
  "formula": "Ca2YPbC",
  "functional": "PBE",
  "state": "optimized geometry",
  "spacegroup": "P4/mmm (123)",
  "magmom_total_mub_per_cell": 0.0,
  "delta_e_f_ev_per_atom": -0.29,
  "total_energy_ev_per_atom": -4.968,
  "lattice": [[5.061, 0.000, 0.000], [0.000, 5.061, 0.000], [0.000, 0.000, 4.907]],
  "species": ["Ca", "Ca", "Y", "Pb", "C"],
  "frac_coords": [[0.000, 0.500, 0.000], [0.500, 0.000, 0.000], [0.000, 0.000, 0.500], [0.500, 0.500, 0.500], [0.000, 0.000, 0.000]]
}

***

[3]
{
  "formula": "Ca2PdC",
  "functional": "PBE",
  "state": "optimized geometry",
  "spacegroup": "I-42d (122)",
  "magmom_total_mub_per_cell": 0.3,
  "delta_e_f_ev_per_atom": 0.46,
  "total_energy_ev_per_atom": -4.150,
  "lattice": [[-6.215, 2.063, -3.294], [-0.297, -6.446, -3.477], [-4.914, -3.395, -1.012]],
  "species": ["Pd", "Pd", "C", "C", "Ca", "Ca", "Ca", "Ca"],
  "frac_coords": [[0.750, 0.250, 0.500], [0.000, 0.000, 0.000], [0.250, 0.750, 0.500], [0.500, 0.500, 0.000], [0.875, 0.815, 0.750], [0.185, 0.625, 0.250], [0.375, 0.435, 0.750], [0.565, 0.125, 0.250]]
}

***

[4]
{
  "formula": "Ca2PdPtC",
  "functional": "PBE",
  "state": "optimized geometry",
  "spacegroup": "P4/mmm (123)",
  "magmom_total_mub_per_cell": 0.0,
  "delta_e_f_ev_per_atom": -0.41,
  "total_energy_ev_per_atom": -5.302,
  "lattice": [[-4.357, -1.265, 2.445], [-2.102, -1.429, -4.484], [1.320, -3.553, 0.514]],
  "species": ["Ca", "Ca", "Pd", "Pt", "C"],
  "frac_coords": [[0.000, 0.500, 0.000], [0.500, 0.000, 0.000], [0.500, 0.500, 0.500], [0.000, 0.000, 0.500], [0.000, 0.000, 0.000]]
}

***

[5]
{
  "formula": "Ca2PdRhC",
  "functional": "PBE",
  "state": "optimized geometry",
  "spacegroup": "P4/mmm (123)",
  "magmom_total_mub_per_cell": 0.0,
  "delta_e_f_ev_per_atom": -0.26,
  "total_energy_ev_per_atom": -5.411,
  "lattice": [[5.064, 0.000, 0.000], [0.000, 5.064, 0.000], [0.000, 0.000, 3.841]],
  "species": ["Rh", "Pd", "C", "Ca", "Ca"],
  "frac_coords": [[0.000, 0.000, 0.500], [0.500, 0.500, 0.500], [0.000, 0.000, 0.000], [0.500, 0.000, 0.000], [0.000, 0.500, 0.000]]
}

***

[6]
{
  "formula": "CaPdRh2C",
  "functional": "PBE",
  "state": "optimized geometry",
  "spacegroup": "P4/mmm (123)",
  "magmom_total_mub_per_cell": 0.0,
  "de_polymorph_mev_per_atom": 171.0,
  "delta_e_f_ev_per_atom": -0.10,
  "total_energy_ev_per_atom": -6.324,
  "lattice": [[-2.468, -1.642, 2.694], [-1.988, -2.764, -3.506], [2.702, -2.867, 0.727]],
  "species": ["Rh", "Rh", "Ca", "Pd", "C"],
  "frac_coords": [[0.500, 0.000, 0.000], [0.000, 0.000, 0.500], [0.000, 0.500, 0.000], [0.500, 0.500, 0.500], [0.000, 0.000, 0.000]]
}

***

[7]
{
  "formula": "CaPdRh2C",
  "functional": "PBE",
  "state": "optimized geometry",
  "spacegroup": "P4/mmm (123)",
  "magmom_total_mub_per_cell": 0.0,
  "de_polymorph_mev_per_atom": 0.0,
  "delta_e_f_ev_per_atom": -0.27,
  "total_energy_ev_per_atom": -6.495,
  "lattice": [[-1.060, -3.478, -1.970], [0.984, -2.202, 3.358], [-4.075, 0.412, 1.464]],
  "species": ["Ca", "Rh", "Rh", "C", "Pd"],
  "frac_coords": [[0.500, 0.500, 0.500], [0.500, 0.000, 0.000], [0.000, 0.500, 0.000], [0.000, 0.000, 0.000], [0.000, 0.000, 0.500]]
}

***

[8]
{
  "formula": "Ca2PdRuC",
  "functional": "PBE",
  "state": "optimized geometry",
  "spacegroup": "P4/mmm (123)",
  "magmom_total_mub_per_cell": 0.0,
  "delta_e_f_ev_per_atom": -0.11,
  "total_energy_ev_per_atom": -5.644,
  "lattice": [[-0.763, -2.479, -4.300], [4.841, 0.586, -1.197], [0.842, -3.334, 1.773]],
  "species": ["Pd", "Ca", "Ca", "C", "Ru"],
  "frac_coords": [[0.500, 0.500, 0.500], [0.500, 0.000, 0.000], [0.000, 0.500, 0.000], [0.000, 0.000, 0.000], [0.000, 0.000, 0.500]]
}

***

Copy entry 5 word for word.
{
  "formula": "Ca2PdRhC",
  "functional": "PBE",
  "state": "optimized geometry",
  "spacegroup": "P4/mmm (123)",
  "magmom_total_mub_per_cell": 0.0,
  "delta_e_f_ev_per_atom": -0.26,
  "total_energy_ev_per_atom": -5.411,
  "lattice": [[5.064, 0.000, 0.000], [0.000, 5.064, 0.000], [0.000, 0.000, 3.841]],
  "species": ["Rh", "Pd", "C", "Ca", "Ca"],
  "frac_coords": [[0.000, 0.000, 0.500], [0.500, 0.500, 0.500], [0.000, 0.000, 0.000], [0.500, 0.000, 0.000], [0.000, 0.500, 0.000]]
}